# Li2Sb2Ir

A PBEsol-optimized structure of Li2Sb2Ir (SCAN, the Alexandria database).

Cell and atoms, written as CIF:
```
data_Li2Sb2Ir
_chemical_formula_sum 'Li4 Sb4 Ir2'
_cell_length_a 6.695
_cell_length_b 6.695
_cell_length_c 4.514
_cell_angle_alpha 90.00
_cell_angle_beta 90.00
_cell_angle_gamma 90.00
_symmetry_space_group_name_H-M 'P 4/m b m'
_symmetry_Int_Tables_number 127
_symmetry_space_group_name_Hall '-P 4 2ab'
loop_
_atom_site_label
_atom_site_type_symbol
_atom_site_fract_x
_atom_site_fract_y
_atom_site_fract_z
_atom_site_occupancy
Li1 Li 0.170 0.330 0.000 1
Sb1 Sb 0.147 0.647 0.500 1
Ir1 Ir 0.000 0.000 0.500 1
```

Calculated values
**Raw formation energy**: -409 meV per atom
**Calculated total energy**: -30.49 eV per atom